# 1
First-principles (PBE with a Hubbard U) data for a relaxed NiHgO2 crystal, as listed in Alexandria via LeMat-Bulk.

POSCAR file:
```
NiHgO2
1.0
3.1721 0.0000 0.0000
0.0004 4.1655 0.0000
1.5110 1.0099 8.0768
Ni Hg O
2 2 4
Direct
0.2070 0.2276 0.0910
0.7930 0.7724 0.9090
0.4073 0.3304 0.6696
0.5927 0.6696 0.3304
0.2119 0.7305 0.0794
0.3783 0.8177 0.7299
0.6217 0.1823 0.2701
0.7881 0.2695 0.9206
```

Properties
E_tot = -3.742 eV/atom
symmetry = P-1 (2)
crystal system = triclinic
magnetization = 1.93 μB per formula unit



# 2
First-principles (PBE with a Hubbard U) data for a relaxed NiHgO2 crystal, as listed in Alexandria via LeMat-Bulk.

POSCAR file:
```
NiHgO2
1.0
5.5745 0.0000 0.0000
-2.4540 5.0157 0.0000
-1.5413 -2.4910 5.0549
Ni Hg O
2 2 4
Direct
0.0000 0.0000 0.0000
0.2948 0.7045 0.9995
0.5199 0.0697 0.6247
0.9300 0.4793 0.3749
0.1271 0.4154 0.1260
0.3735 0.0764 0.2578
0.5845 0.8736 0.8733
0.9227 0.6255 0.7421
```

Properties
E_tot = -3.602 eV/atom
symmetry = P1 (1)
crystal system = triclinic
magnetization = 2.00 μB per formula unit



# 3
First-principles (PBE with a Hubbard U) data for a relaxed NiHgO2 crystal, as listed in Alexandria via LeMat-Bulk.

POSCAR file:
```
NiHgO2
1.0
1.7449 1.0074 5.9937
-1.7449 1.0074 5.9937
0.0000 -2.0149 5.9937
Ni Hg O
1 1 2
Direct
0.0000 0.0000 0.0000
0.5000 0.5000 0.5000
0.0970 0.0970 0.0970
0.9030 0.9030 0.9030
```

Properties
E_tot = -3.407 eV/atom
symmetry = R-3m (166)
crystal system = trigonal
magnetization = 2.00 μB per formula unit



# 4
First-principles (PBE with a Hubbard U) data for a relaxed NiHgO crystal, as listed in Alexandria via LeMat-Bulk.

POSCAR file:
```
NiHgO
1.0
6.0195 0.0000 0.0000
0.0000 2.8492 0.0000
-0.1492 0.0000 6.0441
Ni Hg O
2 2 2
Direct
0.0000 0.0000 0.0000
0.9998 0.5000 0.5000
0.5000 0.0000 0.0010
0.4998 0.5000 0.5011
0.0118 0.0000 0.2957
0.9880 0.0000 0.7044
```

Properties
E_tot = -2.943 eV/atom
symmetry = Pm (6)
crystal system = monoclinic
magnetization = 0.76 μB per formula unit
distance to the lowest polymorph of the same formula = 0.059 eV per atom



# 5
First-principles (PBE with a Hubbard U) data for a relaxed NiHgO2 crystal, as listed in Alexandria via LeMat-Bulk.

POSCAR file:
```
NiHgO2
1.0
3.8184 0.0000 0.0000
-1.9062 5.4374 0.0000
-0.0065 -2.4532 5.4111
Ni Hg O
2 2 4
Direct
0.1314 0.2629 0.4526
0.8686 0.7371 0.5474
0.3739 0.7488 0.0426
0.6261 0.2512 0.9574
0.0802 0.1602 0.7440
0.3409 0.6814 0.6424
0.6591 0.3186 0.3576
0.9198 0.8398 0.2560
```

Properties
E_tot = -3.731 eV/atom
symmetry = P-1 (2)
crystal system = triclinic
magnetization = 2.00 μB per formula unit



# 6
First-principles (PBE with a Hubbard U) data for a relaxed NiHgO2 crystal, as listed in Alexandria via LeMat-Bulk.

POSCAR file:
```
NiHgO2
1.0
-2.5923 2.5923 4.3130
2.5923 -2.5923 4.3130
2.5923 2.5923 -4.3130
Ni Hg O
2 2 4
Direct
0.0000 0.0000 0.0000
0.7500 0.2500 0.5000
0.2500 0.7500 0.5000
0.5000 0.5000 0.0000
0.0588 0.6250 0.9338
0.3750 0.3088 0.4338
0.6912 0.1250 0.0662
0.8750 0.9412 0.5662
```

Properties
E_tot = -3.517 eV/atom
symmetry = I-42d (122)
crystal system = tetragonal
magnetization = 2.10 μB per formula unit



# 7
First-principles (PBE with a Hubbard U) data for a relaxed NiHg3O crystal, as listed in Alexandria via LeMat-Bulk.

POSCAR file:
```
NiHg3O
1.0
4.6672 0.0000 0.0000
0.0000 4.6672 0.0000
0.0000 0.0000 4.6672
Ni Hg O
1 3 1
Direct
0.0000 0.0000 0.0000
0.0000 0.5000 0.5000
0.5000 0.0000 0.5000
0.5000 0.5000 0.0000
0.5000 0.5000 0.5000
```

Properties
E_tot = -0.779 eV/atom
symmetry = Pm-3m (221)
crystal system = cubic
magnetization = 0.00 μB per formula unit



# 8
First-principles (PBE with a Hubbard U) data for a relaxed NiHgO crystal, as listed in Alexandria via LeMat-Bulk.

POSCAR file:
```
NiHgO
1.0
3.4158 0.0000 0.0000
1.3755 3.6827 0.0000
0.1293 0.6686 7.7492
Ni Hg O
2 2 2
Direct
0.1791 0.2179 0.4288
0.8209 0.7821 0.5712
0.1740 0.1375 0.7764
0.8260 0.8625 0.2236
0.4141 0.6882 0.0194
0.5859 0.3118 0.9806
```

Properties
E_tot = -2.262 eV/atom
symmetry = P-1 (2)
crystal system = triclinic
magnetization = 1.00 μB per formula unit
distance to the lowest polymorph of the same formula = 0.740 eV per atom



# 9
First-principles (PBE with a Hubbard U) data for a relaxed NiHgO crystal, as listed in Alexandria via LeMat-Bulk.

POSCAR file:
```
NiHgO
1.0
2.8591 0.0000 0.0000
0.1232 2.8603 0.0000
1.2546 0.7590 6.5150
Ni Hg O
1 1 1
Direct
0.0000 0.0000 0.0000
0.4397 0.1117 0.4995
0.4993 0.4994 0.0026
```

Properties
E_tot = -3.002 eV/atom
symmetry = P1 (1)
crystal system = triclinic
magnetization = 1.99 μB per formula unit
distance to the lowest polymorph of the same formula = 0.000 eV per atom



# 10
First-principles (PBE with a Hubbard U) data for a relaxed NiHgO crystal, as listed in Alexandria via LeMat-Bulk.

POSCAR file:
```
NiHgO
1.0
2.1144 -1.9490 0.0000
2.1144 1.9490 0.0000
-0.1049 0.0000 6.5292
Ni Hg O
1 1 1
Direct
0.0000 0.0000 0.0000
0.0000 0.0000 0.5000
0.5000 0.5000 0.0000
```

Properties
E_tot = -2.993 eV/atom
symmetry = C2/m (12)
crystal system = monoclinic
magnetization = 2.02 μB per formula unit
distance to the lowest polymorph of the same formula = 0.010 eV per atom



# 11
First-principles (PBE with a Hubbard U) data for a relaxed NiHg2O crystal, as listed in Alexandria via LeMat-Bulk.

POSCAR file:
```
NiHg2O
1.0
-3.4013 3.4013 3.0285
3.4013 -3.4013 3.0285
3.4013 3.4013 -3.0285
Ni Hg O
2 4 2
Direct
0.0000 0.0000 0.0000
0.7500 0.2500 0.5000
0.1660 0.6250 0.0410
0.3750 0.4160 0.5410
0.5840 0.1250 0.9590
0.8750 0.8340 0.4590
0.2500 0.7500 0.5000
0.5000 0.5000 0.0000
```

Properties
E_tot = -1.687 eV/atom
symmetry = I-42d (122)
crystal system = tetragonal
magnetization = 1.04 μB per formula unit



# 12
First-principles (PBE with a Hubbard U) data for a relaxed NiHgO crystal, as listed in Alexandria via LeMat-Bulk.

POSCAR file:
```
NiHgO
1.0
6.0823 -1.4318 0.0000
6.0823 1.4318 0.0000
-0.9762 0.0000 5.6462
Ni Hg O
2 2 2
Direct
0.0000 0.0000 0.0000
0.5000 0.5000 0.5000
0.2258 0.2258 0.7421
0.7742 0.7742 0.2579
0.4549 0.4549 0.7863
0.5451 0.5451 0.2137
```

Properties
E_tot = -2.951 eV/atom
symmetry = C2/m (12)
crystal system = monoclinic
magnetization = 0.75 μB per formula unit
distance to the lowest polymorph of the same formula = 0.051 eV per atom